1.
# LaCe3Ho2Te6

An optimized crystal structure of LaCe3Ho2Te6 (PBE, Alexandria).

Cell lengths 7.6684, 13.3074, 7.7862 Å; angles 90.00, 109.23, 90.00 degrees
Last column: nearest neighbours and their distance in Å.
Space group C2/m (No. 12)
Inequivalent atoms, fractional coordinates:
La 0.0000 0.0000 0.0000  6 Te 3.18-3.20
Ce 0.0000 0.1597 0.5000  6 Te 3.16-3.21
Ce 0.0000 0.5000 0.5000  6 Te 3.13-3.20
Ho 0.0000 0.3314 0.0000  6 Te 3.08-3.09
Te 0.2333 0.5000 0.2374  2 Ho 3.08, 3 Ce 3.13-3.18, 1 La 3.18
Te 0.2453 0.3277 0.7543  2 Ho 3.08-3.09, 3 Ce 3.16-3.21, 1 La 3.20

***

2.
# La3Ce4HoTe8

An optimized crystal structure of La3Ce4HoTe8 (PBE, Alexandria).

Cell lengths 15.6035, 8.9938, 9.0405 Å; angles 90.00, 125.19, 90.00 degrees
Last column: nearest neighbours and their distance in Å.
Space group C2/m (No. 12)
Inequivalent atoms, fractional coordinates:
La 0.0000 0.0000 0.0000  6 Te 3.21
La 0.2500 0.2500 0.0000  6 Te 3.21
Ce 0.0000 0.0000 0.5000  6 Te 3.25
Ce 0.0000 0.5000 0.5000  6 Te 3.16
Ce 0.2500 0.2500 0.5000  6 Te 3.16
Ho 0.0000 0.5000 0.0000  6 Te 3.13
Te 0.0019 0.2567 0.2490  1 Ho 3.13, 3 Ce 3.16-3.25, 2 La 3.21
Te 0.2452 0.5000 0.2490  1 Ho 3.13, 3 Ce 3.16-3.25, 2 La 3.21
Te 0.2481 0.5000 0.7443  3 Ce 3.16, 3 La 3.21

***

no.,VASP energy (eV/atom)
1,-5.597
2,-5.696